[1]
Compound: Nd11Sm9Y4
Source: Alexandria via LeMat-Bulk
Functional: PBE
Structure: relaxed

abc: 3.690 15.705 15.705
angles: 114.00 90.00 90.00
Sites, in units of the cell vectors:
Y: 0.500 0.442 0.239
Y: 0.500 0.761 0.558
Y: 0.500 0.558 0.761
Y: 0.500 0.239 0.442
Sm: 0.500 0.627 0.166
Sm: 0.500 0.834 0.373
Sm: 0.500 0.062 0.212
Sm: 0.500 0.788 0.938
Sm: 0.500 0.373 0.834
Sm: 0.500 0.166 0.627
Sm: 0.500 0.212 0.062
Sm: 0.500 0.938 0.788
Sm: 0.500 0.500 0.500
Nd: 0.000 0.402 0.039
Nd: 0.000 0.961 0.598
Nd: 0.000 0.369 0.631
Nd: 0.000 0.039 0.402
Nd: 0.000 0.288 0.288
Nd: 0.000 0.712 0.712
Nd: 0.000 0.598 0.961
Nd: 0.000 0.835 0.165
Nd: 0.000 0.000 0.000
Nd: 0.000 0.165 0.835
Nd: 0.000 0.631 0.369

* formation enthalpy at 0 K: 0.061 eV/atom
* V: 831.5 Å³ per cell

[2]
Compound: NdSm3Y4
Source: Alexandria via LeMat-Bulk
Functional: PBE
Structure: relaxed

abc: 3.468 6.793 15.467
angles: 131.20 96.44 90.00
Sites, in units of the cell vectors:
Sm: 0.760 0.780 0.520
Sm: 0.240 0.220 0.480
Sm: 0.000 0.500 0.000
Nd: 0.500 0.000 0.000
Y: 0.625 0.120 0.250
Y: 0.375 0.369 0.750
Y: 0.625 0.631 0.250
Y: 0.375 0.880 0.750

* formation enthalpy at 0 K: 0.178 eV/atom
* excess energy over the best structure of this formula in the dataset: 160 meV per atom
* V: 271.1 Å³ per cell

| no. | total magnetic moment (μB per formula unit) | total energy (eV per formula unit) | Fermi-level density of states (states/eV per cell) |
| --- | --- | --- | --- |
| 1 | 0.000 | -119.3 | 32.03 |
| 2 | 0.000 | -43.4 | 15.80 |